Below is a relaxed structure of LaCrO3, with properties calculated at the PBE+U level.

Results
V: 61 Å³/f.u.
energy: -8.23 eV/atom
SG: R-3c

a = 5.527 Å, b = 5.527 Å, c = 5.527 Å
α = 61.14°, β = 61.14°, γ = 61.14°
Element x y z (fractional)
Cr 0.996 0.996 0.996
Cr 0.496 0.496 0.496
O 0.246 0.821 0.672
O 0.321 0.746 0.172
O 0.172 0.321 0.746
O 0.746 0.172 0.321
O 0.821 0.672 0.246
O 0.672 0.246 0.821
La 0.246 0.246 0.246
La 0.746 0.746 0.746